Entry 1:
An optimized crystal structure of Hf4AlGe2. Source: Alexandria via LeMat-Bulk, functional PBE.

size of the total moment	0.0	μB per formula unit
calculated formation energy	-0.19	eV per atom
theoretical density	9.76	g/cm3

a = 7.3118 Å, b = 7.3118 Å, c = 7.3242 Å
α = 108.63°, β = 108.63°, γ = 111.10°
Atoms (fractional coordinates):
Hf 0.3763 0.0632 0.3137
Hf 0.3125 0.4995 0.1862
Hf 0.5005 0.6877 0.8139
Hf 0.7495 0.0626 0.6863
Hf 0.3133 0.1263 0.8138
Hf 0.8737 0.6865 0.1861
Hf 0.9376 0.2505 0.3138
Hf 0.9366 0.6237 0.6862
Ge 0.6249 0.3750 0.7499
Ge 0.1250 0.3750 0.7500
Ge 0.6250 0.3750 0.2500
Ge 0.6251 0.8750 0.2501
Al 0.2500 0.7500 0.5000
Al 0.0000 0.0000 0.0000

---

Entry 2:
An optimized crystal structure of HfAl2NiGe. Source: Alexandria via LeMat-Bulk, functional PBE.

size of the total moment	0.0	μB per formula unit
calculated formation energy	0.82	eV per atom
theoretical density	5.69	g/cm3

a = 4.6141 Å, b = 4.9852 Å, c = 4.6141 Å
α = 90.00°, β = 90.00°, γ = 90.00°
Atoms (fractional coordinates):
Ge 0.0000 0.0000 0.0000
Ni 0.5000 0.5000 0.5000
Al 0.0000 0.0000 0.5000
Al 0.5000 0.0000 0.0000
Hf 0.0000 0.5000 0.0000

---

Entry 3:
An optimized crystal structure of HfAlGe2O8. Source: Alexandria via LeMat-Bulk, functional PBE.

size of the total moment	0.7	μB per formula unit
theoretical density	5.90	g/cm3
energy relative to the elements, uncorrected	-2.0757	eV per atom

a = 5.5955 Å, b = 5.5955 Å, c = 5.5955 Å
α = 109.04°, β = 109.04°, γ = 110.34°
Each line ends with the local moment (μB).
Atoms (fractional coordinates):
O 0.3571 0.0576 0.2995  0.08
O 0.3108 0.5027 0.1918  0.07
O 0.9424 0.6429 0.7005  0.08
O 0.9424 0.2419 0.2995  0.08
O 0.4973 0.6892 0.8082  0.07
O 0.7581 0.0576 0.7005  0.08
O 0.3108 0.1190 0.8082  0.07
O 0.8810 0.6892 0.1918  0.07
Al 0.0000 0.0000 0.0000  0.00
Ge 0.5000 0.5000 0.0000  -0.01
Ge 0.7500 0.2500 0.5000  -0.01
Hf 0.2500 0.7500 0.5000  -0.01

---

Entry 4:
An optimized crystal structure of HfAlGePd2. Source: Alexandria via LeMat-Bulk, functional PBE.

size of the total moment	0.0	μB per formula unit
calculated formation energy	0.30	eV per atom
theoretical density	7.96	g/cm3

a = 4.4485 Å, b = 5.1782 Å, c = 4.4485 Å
α = 90.00°, β = 90.00°, γ = 90.00°
Atoms (fractional coordinates):
Hf 0.0000 0.5000 0.0000
Ge 0.5000 0.5000 0.5000
Pd 0.0000 0.0000 0.5000
Pd 0.5000 0.0000 0.0000
Al 0.0000 0.0000 0.0000

---

Entry 5:
An optimized crystal structure of RbHfAlGe2. Source: Alexandria via LeMat-Bulk, functional PBE.

size of the total moment	0.0	μB per formula unit
calculated formation energy	0.73	eV per atom
theoretical density	5.27	g/cm3

a = 5.1217 Å, b = 5.2396 Å, c = 5.1217 Å
α = 90.00°, β = 90.00°, γ = 90.00°
Atoms (fractional coordinates):
Ge 0.0000 0.0000 0.5000
Ge 0.5000 0.0000 0.0000
Hf 0.0000 0.5000 0.0000
Al 0.0000 0.0000 0.0000
Rb 0.5000 0.5000 0.5000

---

Entry 6:
An optimized crystal structure of RbHf2AlGe. Source: Alexandria via LeMat-Bulk, functional PBE.

size of the total moment	0.0	μB per formula unit
calculated formation energy	1.01	eV per atom
theoretical density	6.47	g/cm3

a = 5.2340 Å, b = 5.0772 Å, c = 5.2340 Å
α = 90.00°, β = 90.00°, γ = 90.00°
Atoms (fractional coordinates):
Hf 0.0000 0.0000 0.5000
Hf 0.5000 0.0000 0.0000
Ge 0.0000 0.5000 0.0000
Al 0.0000 0.0000 0.0000
Rb 0.5000 0.5000 0.5000

---

Entry 7:
An optimized crystal structure of HfAlGeRh2. Source: Alexandria via LeMat-Bulk, functional PBE.

size of the total moment	0.0	μB per formula unit
calculated formation energy	0.41	eV per atom
theoretical density	7.95	g/cm3

a = 4.5178 Å, b = 4.9537 Å, c = 4.5178 Å
α = 90.00°, β = 90.00°, γ = 90.00°
Atoms (fractional coordinates):
Rh 0.0000 0.0000 0.5000
Rh 0.5000 0.0000 0.0000
Al 0.5000 0.5000 0.5000
Ge 0.0000 0.0000 0.0000
Hf 0.0000 0.5000 0.0000

---

Entry 8:
An optimized crystal structure of HfSc2AlGe. Source: Alexandria via LeMat-Bulk, functional PBE.

size of the total moment	1.3	μB per formula unit
calculated formation energy	0.63	eV per atom
theoretical density	5.10	g/cm3

a = 5.0694 Å, b = 4.6585 Å, c = 5.0694 Å
α = 90.00°, β = 90.00°, γ = 90.00°
Each line ends with the local moment (μB).
Atoms (fractional coordinates):
Sc 0.5000 0.0000 0.0000  0.16
Sc 0.0000 0.0000 0.5000  0.17
Al 0.0000 0.0000 0.0000  0.01
Ge 0.0000 0.5000 0.0000  0.00
Hf 0.5000 0.5000 0.5000  0.43